(1)
The following is a PBE-GGA calculation of an optimized crystal structure of Dy6Ir2Pt, from Alexandria.

Computed properties:
M_tot: 0.000 μB per cell
Calculated formation energy: -6.406 eV/f.u.
DFT total energy: -6.4202 eV per atom

abc: 6.655 7.208 11.634
angles: 90.00 120.94 90.00
Space group P2_1/c (No. 14)
Unique sites:
Dy (0.086, 0.053, 0.256)
Dy (0.266, 0.672, 0.084)
Dy (0.409, 0.182, 0.069)
Ir (0.318, 0.115, 0.770)
Pt (0.000, 0.000, 0.000)

***

(2)
The following is a PBE-GGA calculation of an optimized crystal structure of Dy4IrPt, from Alexandria.

Computed properties:
M_tot: 0.000 μB per cell
Calculated formation energy: -4.728 eV/f.u.
DFT total energy: -6.3397 eV per atom

abc: 4.828 4.828 6.846
angles: 90.00 90.00 90.00
Space group P4/mmm (No. 123)
Unique sites:
Dy (0.000, 0.500, 0.246)
Ir (0.000, 0.000, 0.000)
Pt (0.500, 0.500, 0.500)

***

(3)
The following is a PBE-GGA calculation of an optimized crystal structure of Dy6Ir5Pt, from Alexandria.

Computed properties:
M_tot: 0.000 μB per cell
Calculated formation energy: -10.645 eV/f.u.
DFT total energy: -7.3837 eV per atom

abc: 8.357 14.684 4.895
angles: 90.00 125.75 90.00
Space group C2/m (No. 12)
Unique sites:
Dy (0.248, 0.000, 0.248)
Dy (0.249, 0.168, 0.749)
Ir (0.000, 0.000, 0.500)
Ir (0.000, 0.166, 0.000)
Ir (0.000, 0.333, 0.500)
Pt (0.000, 0.500, 0.000)

***

(4)
The following is a PBE-GGA calculation of an optimized crystal structure of Dy4IrPt3, from Alexandria.

Computed properties:
M_tot: 0.000 μB per cell
Calculated formation energy: -9.305 eV/f.u.
DFT total energy: -6.8371 eV per atom

abc: 3.774 4.420 10.570
angles: 90.00 90.00 90.00
Space group Pmm2 (No. 25)
Unique sites:
Dy (0.000, 0.000, 0.000)
Dy (0.000, 0.500, 0.275)
Dy (0.500, 0.000, 0.491)
Dy (0.500, 0.500, 0.775)
Ir (0.500, 0.000, 0.222)
Pt (0.000, 0.000, 0.724)
Pt (0.000, 0.500, 0.550)
Pt (0.500, 0.500, 0.048)

***

(5)
The following is a PBE-GGA calculation of an optimized crystal structure of Dy8Ir3Pt2, from Alexandria.

Computed properties:
M_tot: 0.000 μB per cell
Calculated formation energy: -11.030 eV/f.u.
DFT total energy: -6.6547 eV per atom

abc: 8.418 4.818 8.432
angles: 90.00 109.47 90.00
Space group P2/m (No. 10)
Unique sites:
Dy (0.121, 0.000, 0.379)
Dy (0.129, 0.500, 0.873)
Dy (0.374, 0.500, 0.629)
Dy (0.376, 0.000, 0.123)
Ir (0.249, 0.000, 0.749)
Ir (0.500, 0.500, 0.000)
Pt (0.247, 0.500, 0.252)

***

(6)
The following is a PBE-GGA calculation of an optimized crystal structure of Dy12IrPt6, from Alexandria.

Computed properties:
M_tot: 0.000 μB per cell
Calculated formation energy: -17.076 eV/f.u.
DFT total energy: -6.1793 eV per atom

abc: 12.5513 12.5513 11.6608
angles: 90.00 90.00 120.00
Space group R-3 (No. 148, hexagonal axes)
Unique sites:
Dy (0.0291, 0.2160, 0.3933)
Dy (0.0418, 0.2059, 0.8846)
Ir (0.0000, 0.0000, 0.0000)
Pt (0.0449, 0.2634, 0.6464)

***

(7)
The following is a PBE-GGA calculation of an optimized crystal structure of DyPuIrPt, from Alexandria.

Computed properties:
M_tot: 20.840 μB per cell
Calculated formation energy: -3.075 eV/f.u.
DFT total energy: -9.2277 eV per atom

abc: 6.930 6.930 6.930
angles: 90.00 90.00 90.00
Space group F-43m (No. 216)
Unique sites:
Dy (0.000, 0.000, 0.000)
Pu (0.000, 0.000, 0.500)
Ir (0.250, 0.250, 0.750)
Pt (0.250, 0.250, 0.250)

***

(8)
The following is a PBE-GGA calculation of an optimized crystal structure of DyScIrPt, from Alexandria.

Computed properties:
M_tot: 0.000 μB per cell
Calculated formation energy: -4.107 eV/f.u.
DFT total energy: -7.4857 eV per atom

abc: 6.737 6.737 6.737
angles: 90.00 90.00 90.00
Space group F-43m (No. 216)
Unique sites:
Dy (0.000, 0.000, 0.000)
Sc (0.000, 0.000, 0.500)
Ir (0.250, 0.250, 0.250)
Pt (0.250, 0.250, 0.750)